1.
Material: SmTh4Sn15
Method: DFT, PBE-GGA
State: relaxed

Values from the calculation:
* formation enthalpy at 0 K: -862 kJ/mol of formula units
* electronic total energy: -5.17 eV/atom
* M_tot: 0.0 μB per formula unit

Lattice parameters (Å, degrees): 4.7839 4.7839 23.4462 90.00 90.00 90.00
Closest atoms and distances in Å follow each position.
Space group P4/mmm (No. 123)
Unique sites:
Sm 0.0000 0.0000 0.0000 x1  12 Sn 3.34-3.38
Th 0.0000 0.0000 0.2009 x2  12 Sn 3.33-3.38
Th 0.0000 0.0000 0.3998 x2  12 Sn 3.35-3.38
Sn 0.0000 0.5000 0.0995 x4  8 Sn 3.34-3.38, 2 Sm 3.34, 2 Th 3.37
Sn 0.0000 0.5000 0.2999 x4  4 Th 3.33-3.35, 8 Sn 3.35-3.38
Sn 0.0000 0.5000 0.5000 x2  8 Sn 3.35-3.38, 4 Th 3.35
Sn 0.5000 0.5000 0.0000 x1  8 Sn 3.34, 4 Sm 3.38
Sn 0.5000 0.5000 0.1988 x2  8 Sn 3.34-3.37, 4 Th 3.38
Sn 0.5000 0.5000 0.3999 x2  8 Sn 3.35, 4 Th 3.38

2.
Material: Sm2ThSn
Method: DFT, PBE-GGA
State: relaxed

Values from the calculation:
* formation enthalpy at 0 K: 19 kJ/mol of formula units
* electronic total energy: -5.17 eV/atom
* M_tot: 0.0 μB per formula unit
* polymorph energy (0 for the lowest one): 1.73 eV/f.u.

Lattice parameters (Å, degrees): 3.5715 3.5715 36.0444 90.00 90.00 120.00
Closest atoms and distances in Å follow each position.
Space group R-3m (No. 166, hexagonal axes)
Unique sites:
Sm 0.0000 0.0000 0.0880 x6  1 Sn 3.17, 3 Th 3.50
Th 0.0000 0.0000 0.5000 x3  6 Sm 3.50, 6 Th 3.57
Sn 0.0000 0.0000 0.0000 x3  2 Sm 3.17

3.
Material: Sm5ThSn6
Method: DFT, PBE-GGA
State: relaxed

Values from the calculation:
* formation enthalpy at 0 K: -705 kJ/mol of formula units
* electronic total energy: -5.20 eV/atom
* M_tot: 0.0 μB per formula unit

Lattice parameters (Å, degrees): 8.4530 15.6717 6.2361 90.00 120.66 90.00
Closest atoms and distances in Å follow each position.
Space group C2/m (No. 12)
Unique sites:
Sm 0.0000 0.0000 0.0000 x2  6 Sn 3.15-3.27
Sm 0.0000 0.1827 0.5000 x4  6 Sn 3.12-3.25
Sm 0.0000 0.3557 0.0000 x4  6 Sn 3.20-3.31
Th 0.0000 0.5000 0.5000 x2  6 Sn 3.19-3.44
Sn 0.2072 0.0000 0.6777 x4  1 Sn 3.04, 1 Th 3.19, 5 Sm 3.20-3.27
Sn 0.2209 0.1719 0.2005 x8  5 Sm 3.12-3.31, 1 Sn 3.27, 1 Th 3.44

4.
Material: Sm2ThSn
Method: DFT, PBE-GGA
State: relaxed

Values from the calculation:
* formation enthalpy at 0 K: -120 kJ/mol of formula units
* electronic total energy: -5.52 eV/atom
* M_tot: 0.0 μB per formula unit
* polymorph energy (0 for the lowest one): 0.29 eV/f.u.

Lattice parameters (Å, degrees): 4.0515 4.0515 7.2646 90.00 90.00 90.00
Closest atoms and distances in Å follow each position.
Space group P4/mmm (No. 123)
Unique sites:
Sm 0.0000 0.0000 0.2208 x2  1 Sm 3.21, 4 Sn 3.28, 4 Th 3.51
Th 0.5000 0.5000 0.5000 x1  8 Sm 3.51, 2 Sn 3.63
Sn 0.5000 0.5000 0.0000 x1  8 Sm 3.28, 2 Th 3.63

5.
Material: SmThSn6
Method: DFT, PBE-GGA
State: relaxed

Values from the calculation:
* formation enthalpy at 0 K: -356 kJ/mol of formula units
* electronic total energy: -4.98 eV/atom
* M_tot: 0.0 μB per formula unit

Lattice parameters (Å, degrees): 4.7488 4.7488 9.4901 90.00 90.00 90.00
Closest atoms and distances in Å follow each position.
Space group P4/mmm (No. 123)
Unique sites:
Sm 0.0000 0.0000 0.0000 x1  12 Sn 3.35-3.36
Th 0.0000 0.0000 0.5000 x1  12 Sn 3.36-3.37
Sn 0.0000 0.5000 0.2487 x4  8 Sn 3.35-3.37, 2 Sm 3.35, 2 Th 3.37
Sn 0.5000 0.5000 0.0000 x1  8 Sn 3.35, 4 Sm 3.36
Sn 0.5000 0.5000 0.5000 x1  4 Th 3.36, 8 Sn 3.37

6.
Material: SmTh3Sn12
Method: DFT, PBE-GGA
State: relaxed

Values from the calculation:
* formation enthalpy at 0 K: -706 kJ/mol of formula units
* electronic total energy: -5.15 eV/atom
* M_tot: 0.0 μB per formula unit

Lattice parameters (Å, degrees): 4.7910 4.7910 18.6816 90.00 90.00 90.00
Closest atoms and distances in Å follow each position.
Space group P4/mmm (No. 123)
Unique sites:
Sm 0.0000 0.0000 0.0000 x1  12 Sn 3.33-3.39
Th 0.0000 0.0000 0.2501 x2  12 Sn 3.34-3.39
Th 0.0000 0.0000 0.5000 x1  12 Sn 3.35-3.39
Sn 0.0000 0.5000 0.1238 x4  8 Sn 3.33-3.39, 2 Sm 3.33, 2 Th 3.36
Sn 0.0000 0.5000 0.3746 x4  4 Th 3.34-3.35, 8 Sn 3.35-3.39
Sn 0.5000 0.5000 0.0000 x1  8 Sn 3.33, 4 Sm 3.39
Sn 0.5000 0.5000 0.2485 x2  8 Sn 3.34-3.36, 4 Th 3.39
Sn 0.5000 0.5000 0.5000 x1  8 Sn 3.35, 4 Th 3.39

7.
Material: SmTh2Sn9
Method: DFT, PBE-GGA
State: relaxed

Values from the calculation:
* formation enthalpy at 0 K: -527 kJ/mol of formula units
* electronic total energy: -5.09 eV/atom
* M_tot: 0.0 μB per formula unit

Lattice parameters (Å, degrees): 4.7473 4.7473 14.2584 90.00 90.00 90.00
Closest atoms and distances in Å follow each position.
Space group P4/mmm (No. 123)
Unique sites:
Sm 0.0000 0.0000 0.0000 x1  12 Sn 3.35-3.36
Th 0.0000 0.0000 0.3345 x2  12 Sn 3.35-3.38
Sn 0.0000 0.5000 0.1657 x4  8 Sn 3.35-3.36, 2 Sm 3.35, 2 Th 3.38
Sn 0.0000 0.5000 0.5000 x2  4 Th 3.35, 8 Sn 3.36-3.37
Sn 0.5000 0.5000 0.0000 x1  8 Sn 3.35, 4 Sm 3.36
Sn 0.5000 0.5000 0.3319 x2  8 Sn 3.35-3.37, 4 Th 3.36

8.
Material: Sm2ThSn
Method: DFT, PBE-GGA
State: relaxed

Values from the calculation:
* formation enthalpy at 0 K: -65 kJ/mol of formula units
* electronic total energy: -5.38 eV/atom
* M_tot: 0.0 μB per formula unit
* polymorph energy (0 for the lowest one): 0.86 eV/f.u.

Lattice parameters (Å, degrees): 7.7942 7.7942 7.7942 90.00 90.00 90.00
Closest atoms and distances in Å follow each position.
Space group Fm-3m (No. 225)
Unique sites:
Sm 0.2500 0.2500 0.2500 x8  4 Sn 3.37, 4 Th 3.37
Th 0.0000 0.0000 0.0000 x4  8 Sm 3.37
Sn 0.0000 0.0000 0.5000 x4  8 Sm 3.37

9.
Material: SmThTlSn
Method: DFT, PBE-GGA
State: relaxed

Values from the calculation:
* formation enthalpy at 0 K: -132 kJ/mol of formula units
* electronic total energy: -4.97 eV/atom
* M_tot: 0.0 μB per formula unit

Lattice parameters (Å, degrees): 7.7473 7.7473 7.7473 90.00 90.00 90.00
Closest atoms and distances in Å follow each position.
Space group F-43m (No. 216)
Unique sites:
Sm 0.0000 0.0000 0.0000 x4  4 Tl 3.35, 4 Sn 3.35
Th 0.0000 0.0000 0.5000 x4  4 Sn 3.35, 4 Tl 3.35
Tl 0.2500 0.2500 0.2500 x4  4 Th 3.35, 4 Sm 3.35
Sn 0.2500 0.2500 0.7500 x4  4 Th 3.35, 4 Sm 3.35

10.
Material: SmThZnSn
Method: DFT, PBE-GGA
State: relaxed

Values from the calculation:
* formation enthalpy at 0 K: -142 kJ/mol of formula units
* electronic total energy: -4.72 eV/atom
* M_tot: 0.0 μB per formula unit

Lattice parameters (Å, degrees): 7.5460 7.5460 7.5460 90.00 90.00 90.00
Closest atoms and distances in Å follow each position.
Space group F-43m (No. 216)
Unique sites:
Sm 0.0000 0.0000 0.0000 x4  4 Sn 3.27, 4 Zn 3.27
Th 0.0000 0.0000 0.5000 x4  4 Sn 3.27, 4 Zn 3.27
Zn 0.2500 0.2500 0.2500 x4  4 Th 3.27, 4 Sm 3.27
Sn 0.2500 0.2500 0.7500 x4  4 Th 3.27, 4 Sm 3.27

11.
Material: SmTiSn2
Method: DFT, PBE-GGA
State: relaxed

Values from the calculation:
* formation enthalpy at 0 K: -137 kJ/mol of formula units
* electronic total energy: -5.51 eV/atom
* M_tot: 0.0 μB per formula unit
* polymorph energy (0 for the lowest one): 0.17 eV/f.u.

Lattice parameters (Å, degrees): 3.7588 3.7588 6.7605 90.00 90.00 90.00
Closest atoms and distances in Å follow each position.
Space group P4/mmm (No. 123)
Unique sites:
Sm 0.0000 0.0000 0.0000 x1  8 Sn 3.29, 2 Ti 3.38
Ti 0.0000 0.0000 0.5000 x1  8 Sn 3.02, 2 Sm 3.38
Sn 0.5000 0.5000 0.2872 x2  1 Sn 2.88, 4 Ti 3.02

12.
Material: Sm3Ti5Sn12
Method: DFT, PBE-GGA
State: relaxed

Values from the calculation:
* formation enthalpy at 0 K: 541 kJ/mol of formula units
* electronic total energy: -4.80 eV/atom
* M_tot: 3.9 μB per formula unit

Lattice parameters (Å, degrees): 17.0503 17.0503 17.0503 90.00 90.00 90.00
Closest atoms and distances in Å follow each position.
Space group Ia-3d (No. 230)
Unique sites:
Sm 0.0000 0.2500 0.1250 x24  8 Sn 3.12-3.25
Ti 0.0000 0.0000 0.0000 x16  6 Sn 2.80
Ti 0.0000 0.2500 0.3750 x24  4 Sn 2.76
Sn 0.0203 0.0694 0.6475 x96  2 Ti 2.76-2.80